(1)
Compound: KAl4Re3
Source: OQMD
Functional: PBE
Structure: optimized geometry

- raw total energy (eV per formula unit) = -47.90
- size of the total moment (μB/f.u.) = 0.00

```
data_KAl4Re3
_symmetry_space_group_name_H-M 'I m m 2'
_symmetry_Int_Tables_number 44
_cell_length_a 5.4414
_cell_length_b 10.2016
_cell_length_c 5.2205
_cell_angle_alpha 90.00
_cell_angle_beta 90.00
_cell_angle_gamma 90.00
loop_
_symmetry_equiv_pos_as_xyz
'x,y,z'
'-x,-y,z'
'-x,y,z'
'x,-y,z'
'x+1/2,y+1/2,z+1/2'
'-x+1/2,-y+1/2,z+1/2'
'-x+1/2,y+1/2,z+1/2'
'x+1/2,-y+1/2,z+1/2'
loop_
_atom_site_label
_atom_site_fract_x
_atom_site_fract_y
_atom_site_fract_z
_atom_site_occupancy
K1 0.0000 0.0000 0.0000 1
Al1 0.0000 0.2794 0.7792 1
Al2 0.2389 0.5000 0.9999 1
Re1 0.0000 0.2944 0.2806 1
Re2 0.0000 0.5000 0.5015 1
```



(2)
Compound: HfCuBiIr
Source: OQMD
Functional: PBE
Structure: optimized geometry

- raw total energy (eV per formula unit) = -26.43
- size of the total moment (μB/f.u.) = 0.00
- polymorph energy (0 for the lowest one) (meV/atom) = 162.9

```
data_HfCuBiIr
_symmetry_space_group_name_H-M 'F -4 3 m'
_symmetry_Int_Tables_number 216
_symmetry_space_group_name_Hall 'F -4 2 3'
_cell_length_a 6.6672
_cell_length_b 6.6672
_cell_length_c 6.6672
_cell_angle_alpha 90.00
_cell_angle_beta 90.00
_cell_angle_gamma 90.00
loop_
_atom_site_label
_atom_site_fract_x
_atom_site_fract_y
_atom_site_fract_z
_atom_site_occupancy
Hf1 0.0000 0.0000 0.0000 1
Cu1 0.0000 0.0000 0.5000 1
Bi1 0.2500 0.2500 0.2500 1
Ir1 0.2500 0.2500 0.7500 1
```



(3)
Compound: MgZrPO
Source: OQMD
Functional: PBE
Structure: optimized geometry

- raw total energy (eV per formula unit) = -27.04
- size of the total moment (μB/f.u.) = 0.00
- polymorph energy (0 for the lowest one) (meV/atom) = 57.4

```
data_MgZrPO
_symmetry_space_group_name_H-M 'P m m a'
_symmetry_Int_Tables_number 51
_cell_length_a 5.5115
_cell_length_b 4.0197
_cell_length_c 5.9187
_cell_angle_alpha 90.00
_cell_angle_beta 90.00
_cell_angle_gamma 90.00
loop_
_symmetry_equiv_pos_as_xyz
'x,y,z'
'-x,-y,-z'
'-x+1/2,-y,z'
'x+1/2,y,-z'
'x+1/2,-y,-z'
'-x+1/2,y,z'
'-x,y,-z'
'x,-y,z'
loop_
_atom_site_label
_atom_site_fract_x
_atom_site_fract_y
_atom_site_fract_z
_atom_site_occupancy
Mg1 0.0000 0.0000 0.0000 1
Zr1 0.2500 0.5000 0.3407 1
P1 0.2500 0.5000 0.7847 1
O1 0.2500 0.0000 0.2458 1
```